## Ho2Zn3Ru (PBE-GGA)

Data for a relaxed structure of Ho2Zn3Ru.

Unit cell a=4.7575 b=5.3028 c=6.0350 alpha=116.06 beta=113.21 gamma=90.00
Last column: nearest neighbours and their distance in Å.
Atoms (fractional coordinates):
Zn  0.0000  0.0000  0.0000  2 Ru 2.65
Zn  0.3809  0.3809  0.7619  1 Zn 2.32
Zn  0.6191  0.6191  0.2381  1 Zn 2.32
Ru  0.0000  0.5000  0.0000  6 Zn 2.65, 2 Ho 2.80
Ho  0.2874  0.7874  0.5747  1 Ru 2.80, 4 Zn 2.80-2.89
Ho  0.7126  0.2126  0.4253  1 Ru 2.80, 4 Zn 2.80-2.89

Output
ΔE to the lowest computed polymorph ... 0.258 eV per atom
DFT formation energy ... -12.91 kJ/mol of atoms